(1)
SmHo3Th | PBE | optimized geometry

Results
Calculated volume, Å³ per cell: 657.9
Energy relative to the elements, kJ/mol of atoms: 19.57
N(E_F), states/eV/atom: 1.653

The structure in CIF format:
```
data_SmHo3Th
_chemical_formula_sum 'Sm4 Ho12 Th4'
_cell_length_a 17.8456
_cell_length_b 3.4347
_cell_length_c 11.2185
_cell_angle_alpha 90.00
_cell_angle_beta 106.91
_cell_angle_gamma 90.00
_symmetry_space_group_name_H-M 'C 1 2/m 1'
_symmetry_Int_Tables_number 12
_symmetry_space_group_name_Hall '-C 2y'
loop_
_atom_site_label
_atom_site_fract_x
_atom_site_fract_y
_atom_site_fract_z
Sm1 0.0990 0.0000 0.0524
Ho1 0.0074 0.0000 0.7311
Ho2 0.1964 0.5000 0.8640
Ho3 0.1991 0.0000 0.3654
Th1 0.1011 0.5000 0.5409
```

(2)
TbPr2Se | PBE | optimized geometry

Results
Calculated volume, Å³ per cell: 391.2
N(E_F), states/eV/atom: 1.211
Formation energy without anion corrections, kcal/mol of atoms: -17.45

The structure in CIF format:
```
data_TbPr2Se
_chemical_formula_sum 'Tb3 Pr6 Se3'
_cell_length_a 3.9119
_cell_length_b 3.9119
_cell_length_c 29.5155
_cell_angle_alpha 90.00
_cell_angle_beta 90.00
_cell_angle_gamma 120.00
_symmetry_space_group_name_H-M 'R -3 m'
_symmetry_Int_Tables_number 166
_symmetry_space_group_name_Hall '-R 3 2"'
loop_
_atom_site_label
_atom_site_fract_x
_atom_site_fract_y
_atom_site_fract_z
Tb1 0.0000 0.0000 0.0000
Pr1 0.0000 0.0000 0.2335
Se1 0.0000 0.0000 0.5000
```

(3)
Cd2InW | PBE | optimized geometry

Results
Calculated volume, Å³ per cell: 158.5
Energy relative to the elements, kJ/mol of atoms: 50.51
N(E_F), states/eV/atom: 0.644

The structure in CIF format:
```
data_Cd2InW
_chemical_formula_sum 'Cd4 In2 W2'
_cell_length_a 5.8221
_cell_length_b 9.1668
_cell_length_c 2.9694
_cell_angle_alpha 90.00
_cell_angle_beta 90.00
_cell_angle_gamma 90.00
_symmetry_space_group_name_H-M 'C m m m'
_symmetry_Int_Tables_number 65
_symmetry_space_group_name_Hall '-C 2 2'
loop_
_atom_site_label
_atom_site_fract_x
_atom_site_fract_y
_atom_site_fract_z
Cd1 0.2500 0.2500 0.0000
In1 0.0000 0.0000 0.5000
W1 0.0000 0.5000 0.5000
```

(4)
Ba2AsHAu | PBE | optimized geometry

Results
Calculated volume, Å³ per cell: 131.9
N(E_F), states/eV/atom: 0.151

The structure in CIF format:
```
data_Ba2AsHAu
_chemical_formula_sum 'Ba2 As1 H1 Au1'
_cell_length_a 5.6838
_cell_length_b 5.6838
_cell_length_c 4.0835
_cell_angle_alpha 90.00
_cell_angle_beta 90.00
_cell_angle_gamma 90.00
_symmetry_space_group_name_H-M 'P 4/m m m'
_symmetry_Int_Tables_number 123
_symmetry_space_group_name_Hall '-P 4 2'
loop_
_atom_site_label
_atom_site_fract_x
_atom_site_fract_y
_atom_site_fract_z
Ba1 0.0000 0.5000 0.0000
As1 0.0000 0.0000 0.5000
H1 0.5000 0.5000 0.0000
Au1 0.5000 0.5000 0.5000
```

(5)
Ba3Zn5H12 | PBE | optimized geometry

Results
Calculated volume, Å³ per cell: 2525.2
N(E_F), states/eV/atom: 0.067

The structure in CIF format:
```
data_Ba3Zn5H12
_chemical_formula_sum 'Ba24 Zn40 H96'
_cell_length_a 13.6175
_cell_length_b 13.6175
_cell_length_c 13.6175
_cell_angle_alpha 90.00
_cell_angle_beta 90.00
_cell_angle_gamma 90.00
_symmetry_space_group_name_H-M 'I a -3 d'
_symmetry_Int_Tables_number 230
_symmetry_space_group_name_Hall '-I 4bd 2c 3'
loop_
_atom_site_label
_atom_site_fract_x
_atom_site_fract_y
_atom_site_fract_z
Ba1 0.0000 0.2500 0.1250
Zn1 0.0000 0.0000 0.0000
Zn2 0.0000 0.2500 0.3750
H1 0.0471 0.0656 0.6806
```

(6)
La2MgZn | PBE | optimized geometry

Results
Calculated volume, Å³ per cell: 240.0
Energy relative to the elements, kJ/mol of atoms: 0.11
N(E_F), states/eV/atom: 0.918

The structure in CIF format:
```
data_La2MgZn
_chemical_formula_sum 'La4 Mg2 Zn2'
_cell_length_a 10.5421
_cell_length_b 3.6950
_cell_length_c 6.3023
_cell_angle_alpha 90.00
_cell_angle_beta 102.16
_cell_angle_gamma 90.00
_symmetry_space_group_name_H-M 'C 1 2/m 1'
_symmetry_Int_Tables_number 12
_symmetry_space_group_name_Hall '-C 2y'
loop_
_atom_site_label
_atom_site_fract_x
_atom_site_fract_y
_atom_site_fract_z
La1 0.2409 0.0000 0.2261
Mg1 0.0000 0.0000 0.5000
Zn1 0.0000 0.5000 0.0000
```

(7)
SrThGa | PBE | optimized geometry

Results
Calculated volume, Å³ per cell: 380.6
Energy relative to the elements, kJ/mol of atoms: -9.43
N(E_F), states/eV/atom: 1.299

The structure in CIF format:
```
data_SrThGa
_chemical_formula_sum 'Sr4 Th4 Ga4'
_cell_length_a 14.4701
_cell_length_b 5.1217
_cell_length_c 5.1352
_cell_angle_alpha 90.00
_cell_angle_beta 90.00
_cell_angle_gamma 90.00
_symmetry_space_group_name_H-M 'A m m 2'
_symmetry_Int_Tables_number 38
_symmetry_space_group_name_Hall 'A 2 -2'
loop_
_atom_site_label
_atom_site_fract_x
_atom_site_fract_y
_atom_site_fract_z
Sr1 0.1458 0.0000 0.0000
Th1 0.3713 0.0000 0.4978
Ga1 0.0000 0.0000 0.5003
Ga2 0.5000 0.0000 0.9976
```

(8)
PuGa2Ag2 | PBE | optimized geometry

Results
Calculated volume, Å³ per cell: 399.1
Energy relative to the elements, kJ/mol of atoms: -15.47
N(E_F), states/eV/atom: 1.989

The structure in CIF format:
```
data_PuGa2Ag2
_chemical_formula_sum 'Pu4 Ga8 Ag8'
_cell_length_a 3.6011
_cell_length_b 4.4976
_cell_length_c 24.6384
_cell_angle_alpha 90.00
_cell_angle_beta 90.00
_cell_angle_gamma 90.00
_symmetry_space_group_name_H-M 'I m m a'
_symmetry_Int_Tables_number 74
_symmetry_space_group_name_Hall '-I 2b 2'
loop_
_atom_site_label
_atom_site_fract_x
_atom_site_fract_y
_atom_site_fract_z
Pu1 0.0000 0.2500 0.0804
Ga1 0.0000 0.2500 0.5258
Ga2 0.0000 0.2500 0.6307
Ag1 0.0000 0.2500 0.3002
Ag2 0.0000 0.2500 0.7934
```

(9)
AlPbC | PBE | optimized geometry

Results
Calculated volume, Å³ per cell: 114.7
Energy relative to the elements, kJ/mol of atoms: 38.61
N(E_F), states/eV/atom: 0.093

The structure in CIF format:
```
data_AlPbC
_chemical_formula_sum 'Al2 Pb2 C2'
_cell_length_a 3.5884
_cell_length_b 8.2352
_cell_length_c 3.8817
_cell_angle_alpha 90.00
_cell_angle_beta 90.00
_cell_angle_gamma 90.00
_symmetry_space_group_name_H-M 'P m n 21'
_symmetry_Int_Tables_number 31
_symmetry_space_group_name_Hall 'P 2ac -2'
loop_
_atom_site_label
_atom_site_fract_x
_atom_site_fract_y
_atom_site_fract_z
Al1 0.0000 0.0645 0.0000
Pb1 0.0000 0.6646 0.1107
C1 0.0000 0.8765 0.6577
```

(10)
Zn6GeO6 | PBE | optimized geometry

Results
Calculated volume, Å³ per cell: 187.9
N(E_F), states/eV/atom: 0.307
Formation energy without anion corrections, kcal/mol of atoms: -23.53

The structure in CIF format:
```
data_Zn6GeO6
_chemical_formula_sum 'Zn6 Ge1 O6'
_cell_length_a 5.7276
_cell_length_b 5.7276
_cell_length_c 5.7276
_cell_angle_alpha 90.00
_cell_angle_beta 90.00
_cell_angle_gamma 90.00
_symmetry_space_group_name_H-M 'P m -3'
_symmetry_Int_Tables_number 200
_symmetry_space_group_name_Hall '-P 2 2 3'
loop_
_atom_site_label
_atom_site_fract_x
_atom_site_fract_y
_atom_site_fract_z
Zn1 0.0000 0.2494 0.5000
Ge1 0.0000 0.0000 0.0000
O1 0.0000 0.5000 0.2525
```

(11)
NaSi2Au2 | PBE | optimized geometry

Results
Calculated volume, Å³ per cell: 183.0
N(E_F), states/eV/atom: 0.289
Formation energy without anion corrections, kcal/mol of atoms: 1.43

The structure in CIF format:
```
data_NaSi2Au2
_chemical_formula_sum 'Na2 Si4 Au4'
_cell_length_a 7.5104
_cell_length_b 7.5104
_cell_length_c 3.2444
_cell_angle_alpha 90.00
_cell_angle_beta 90.00
_cell_angle_gamma 90.00
_symmetry_space_group_name_H-M 'P 4/m b m'
_symmetry_Int_Tables_number 127
_symmetry_space_group_name_Hall '-P 4 2ab'
loop_
_atom_site_label
_atom_site_fract_x
_atom_site_fract_y
_atom_site_fract_z
Na1 0.0000 0.0000 0.0000
Si1 0.1143 0.3857 0.0000
Au1 0.1918 0.6918 0.5000
```

no.,energy (eV per atom)
1,-4.9716
2,-5.1751
3,-3.8570
4,-3.7207
5,-2.7207
6,-3.1797
7,-4.1405
8,-5.3779
9,-5.1581
10,-4.2521
11,-3.6818